# KReSb2Os

KReSb2Os after structural relaxation (GGA-PBE, Alexandria via LeMat-Bulk).

Summary:
Formation energy from raw total energies (eV/atom): 1.800

Cell lengths 5.0974, 5.0974, 5.8171 Å; angles 90.00, 90.00, 90.00 degrees
Last column: nearest neighbours and their distance in Å.
Space group P4/mmm (No. 123)
Inequivalent atoms, fractional coordinates:
K 0.0000 0.0000 0.0000 (multiplicity 1)  2 Re 2.91
Re 0.0000 0.0000 0.5000 (multiplicity 1)  4 Sb 2.55
Sb 0.0000 0.5000 0.5000 (multiplicity 2)  2 Re 2.55
Os 0.5000 0.5000 0.0000 (multiplicity 1)  4 K 3.60, 8 Sb 3.87